1.
A plane-wave DFT calculation with GGA-PBE was carried out for crystalline BaCaTlBi at its relaxed geometry.

Energy relative to the elements ... -551 meV/atom
N(E_F) ... 4.3 states/eV/cell
E_tot ... -3.093 eV per atom

```
BaCaTlBi
1.0
5.865 0.000 0.000
2.932 5.079 0.000
2.932 1.693 4.789
Bi Ba Ca Tl
1 1 1 1
Cartesian
5.865 3.386 2.394 Bi
2.932 1.693 1.197 Ba
8.797 5.079 3.591 Ca
0.000 0.000 0.000 Tl
```

---

2.
A plane-wave DFT calculation with GGA-PBE was carried out for crystalline KZr2As at its relaxed geometry.

Energy relative to the elements ... 6 meV/atom
N(E_F) ... 4.6 states/eV/cell
E_tot ... -5.705 eV per atom

```
KZr2As
1.0
-2.382 1.535 -1.698
-1.424 -2.783 1.070
-3.014 4.857 8.620
Zr K As
2 1 1
Cartesian
-0.248 0.400 0.709 Zr
-1.259 2.029 3.601 Zr
-4.164 3.019 6.151 K
-2.657 0.591 1.841 As
```

---

3.
A plane-wave DFT calculation with GGA-PBE was carried out for crystalline Sr3SnP at its relaxed geometry.

Energy relative to the elements ... -689 meV/atom
N(E_F) ... 5.6 states/eV/cell
E_tot ... -3.581 eV per atom

```
Sr3SnP
1.0
5.789 0.000 0.000
0.000 5.789 0.000
0.000 0.000 5.789
Sr P Sn
3 1 1
Cartesian
2.894 0.000 0.000 Sr
0.000 0.000 2.894 Sr
0.000 2.894 0.000 Sr
0.000 0.000 0.000 P
2.894 2.894 2.894 Sn
```

---

4.
A plane-wave DFT calculation with GGA-PBE was carried out for crystalline MgCrNiRh at its relaxed geometry.

Energy relative to the elements ... -88 meV/atom
N(E_F) ... 4.3 states/eV/cell
E_tot ... -6.176 eV per atom

```
MgCrNiRh
1.0
-0.069 0.849 -4.179
-0.425 -3.176 -2.815
-3.627 -0.426 -2.203
Ni Cr Mg Rh
1 1 1 1
Cartesian
0.000 0.000 0.000 Ni
-1.030 -0.688 -2.299 Cr
-3.091 -2.065 -6.897 Mg
-2.061 -1.376 -4.598 Rh
```

---

5.
A plane-wave DFT calculation with GGA-PBE was carried out for crystalline ZrPAu at its relaxed geometry.

Energy relative to the elements ... -380 meV/atom
N(E_F) ... 1.8 states/eV/cell
E_tot ... -6.125 eV per atom

```
ZrPAu
1.0
0.000 3.191 3.191
3.191 0.000 3.191
3.191 3.191 0.000
Au P Zr
1 1 1
Cartesian
0.000 0.000 0.000 Au
3.191 3.191 3.191 P
1.595 1.595 1.595 Zr
```

---

6.
A plane-wave DFT calculation with GGA-PBE was carried out for crystalline K2SrNp2O7 at its relaxed geometry.

N(E_F) ... 9.2 states/eV/cell
E_tot ... -8.071 eV per atom
Energy relative to the elements, uncorrected ... -2.70 eV per atom

```
K2SrNp2O7
1.0
4.333 -0.003 0.012
0.003 4.333 0.012
2.138 2.135 11.082
Np K O Sr
2 2 7 1
Cartesian
4.311 4.306 8.956 Np
2.162 2.160 2.149 Np
4.324 4.319 4.287 K
2.149 2.147 6.819 K
4.317 4.311 6.971 O
2.164 4.327 1.916 O
2.157 2.154 4.135 O
4.329 2.159 1.916 O
4.309 2.139 9.190 O
2.168 2.165 0.012 O
2.144 4.307 9.190 O
0.000 0.000 0.000 Sr
```

---

7.
A plane-wave DFT calculation with GGA-PBE was carried out for crystalline Pr2TmScSe6 at its relaxed geometry.

N(E_F) ... 0.0 states/eV/cell
E_tot ... -5.969 eV per atom
Energy relative to the elements, uncorrected ... -1.84 eV per atom

```
Pr2TmScSe6
1.0
-4.111 -1.989 -5.137
1.583 -7.283 1.552
-7.979 -0.376 6.376
Sc Pr Se Tm
2 4 12 2
Cartesian
-2.055 -0.994 -2.569 Sc
-3.198 -3.829 3.964 Sc
-3.234 -3.881 -0.153 Pr
-0.767 -6.700 2.775 Pr
-9.739 -2.948 0.016 Pr
-7.272 -5.766 2.944 Pr
-9.529 -7.956 3.001 Se
-0.977 -1.691 -0.210 Se
-9.696 -3.953 3.001 Se
-3.849 -1.865 2.189 Se
-5.784 -3.902 4.742 Se
-6.658 -7.783 0.602 Se
-3.705 -5.757 2.165 Se
-4.513 -1.660 -1.664 Se
-6.801 -3.890 0.626 Se
-4.722 -5.745 -1.951 Se
-5.993 -7.988 4.455 Se
-0.810 -5.694 -0.210 Se
-6.045 -1.182 0.619 Tm
0.792 -3.641 0.776 Tm
```

---

8.
A plane-wave DFT calculation with GGA-PBE was carried out for crystalline Ho2Cu3Pd at its relaxed geometry.

Energy relative to the elements ... -428 meV/atom
N(E_F) ... 7.2 states/eV/cell
E_tot ... -4.867 eV per atom

```
Ho2Cu3Pd
1.0
5.526 -0.478 0.000
-0.692 5.503 0.000
-2.417 -2.512 7.439
Ho Pd Cu
4 2 6
Cartesian
3.619 3.762 0.000 Ho
-0.346 2.752 3.720 Ho
1.215 1.263 0.000 Ho
2.763 -0.239 3.720 Ho
0.000 0.000 4.963 Pd
2.417 2.512 2.476 Pd
1.594 -1.533 6.228 Cu
2.417 2.512 5.021 Cu
4.011 0.979 1.212 Cu
0.000 0.000 2.418 Cu
0.822 4.046 1.212 Cu
-1.594 1.534 6.228 Cu
```

---

9.
A plane-wave DFT calculation with GGA-PBE was carried out for crystalline Pa2FePt9 at its relaxed geometry.

Energy relative to the elements ... -733 meV/atom
N(E_F) ... 7.9 states/eV/cell
E_tot ... -7.552 eV per atom

```
Pa2FePt9
1.0
4.127 0.000 -0.003
0.000 4.127 -0.003
0.009 0.010 12.109
Pt Pa Fe
9 2 1
Cartesian
2.071 4.135 10.201 Pt
2.067 2.067 3.986 Pt
2.068 0.005 6.053 Pt
0.005 2.069 6.053 Pt
2.065 0.002 1.902 Pt
2.069 2.070 8.117 Pt
0.002 2.066 1.902 Pt
2.064 2.064 -0.003 Pt
4.135 2.072 10.201 Pt
4.133 4.134 8.209 Pa
0.003 0.003 3.894 Pa
4.136 4.137 12.103 Fe
```

---

10.
A plane-wave DFT calculation with GGA-PBE was carried out for crystalline TlCu3F6 at its relaxed geometry.

N(E_F) ... 3.4 states/eV/cell
E_tot ... -4.061 eV per atom
Energy relative to the elements, uncorrected ... -1.47 eV per atom

```
TlCu3F6
1.0
5.014 0.174 -2.759
-3.197 4.506 -0.221
0.054 -0.265 6.282
Cu F Tl
3 6 1
Cartesian
2.532 1.630 -1.807 Cu
0.915 0.805 1.818 Cu
-0.452 2.660 5.194 Cu
0.627 1.773 -0.022 F
2.732 1.405 1.979 F
-1.713 3.276 0.677 F
-1.253 4.005 4.040 F
4.033 0.665 -0.878 F
0.764 1.939 3.717 F
1.167 3.917 1.788 Tl
```

---

11.
A plane-wave DFT calculation with GGA-PBE was carried out for crystalline ZnSi2Br at its relaxed geometry.

N(E_F) ... 1.4 states/eV/cell
E_tot ... -3.106 eV per atom
Energy relative to the elements, uncorrected ... 0.34 eV per atom

```
ZnSi2Br
1.0
-0.857 -0.173 3.311
-0.685 -2.897 -1.693
6.862 -2.581 1.641
Br Zn Si
1 1 2
Cartesian
4.189 -3.401 1.995 Br
3.268 -1.229 0.781 Zn
0.384 -0.144 0.092 Si
0.911 -2.168 1.211 Si
```

---

12.
A plane-wave DFT calculation with GGA-PBE was carried out for crystalline YIr2Rh2 at its relaxed geometry.

Energy relative to the elements ... -193 meV/atom
N(E_F) ... 11.1 states/eV/cell
E_tot ... -7.971 eV per atom

```
YIr2Rh2
1.0
-2.464 -0.908 2.999
2.900 -2.105 1.745
3.182 10.850 3.249
Ir Y Rh
4 2 4
Cartesian
0.500 1.373 0.826 Ir
3.119 6.464 7.167 Ir
0.468 4.218 4.310 Ir
3.150 3.619 3.683 Ir
1.031 0.726 3.716 Y
2.588 7.110 4.278 Y
1.205 3.311 1.992 Rh
2.413 4.525 6.001 Rh
1.450 -1.053 0.873 Rh
-1.232 -0.454 1.500 Rh
```

---

13.
A plane-wave DFT calculation with GGA-PBE was carried out for crystalline K2AgHg2 at its relaxed geometry.

Energy relative to the elements ... -168 meV/atom
N(E_F) ... 2.6 states/eV/cell
E_tot ... -1.298 eV per atom

```
K2AgHg2
1.0
-2.466 3.194 5.284
2.466 -3.194 5.284
2.466 3.194 -5.284
K Hg Ag
2 2 1
Cartesian
0.000 0.000 8.495 K
0.000 0.000 2.074 K
2.466 1.582 0.000 Hg
0.000 1.612 5.284 Hg
0.000 3.194 0.000 Ag
```

---

14.
A plane-wave DFT calculation with GGA-PBE was carried out for crystalline Sm3Hg2Pb at its relaxed geometry.

Energy relative to the elements ... -485 meV/atom
N(E_F) ... 7.3 states/eV/cell
E_tot ... -3.564 eV per atom

```
Sm3Hg2Pb
1.0
-3.269 -0.600 -4.265
5.360 0.146 -0.701
0.275 -6.630 0.721
Sm Pb Hg
3 1 2
Cartesian
2.529 -1.206 -1.769 Sm
0.138 -3.315 0.361 Sm
-0.163 -5.878 -2.476 Sm
0.000 0.000 0.000 Pb
2.661 -4.371 -1.424 Hg
-0.295 -2.713 -2.820 Hg
```

---

15.
A plane-wave DFT calculation with GGA-PBE was carried out for crystalline TeP2RhS at its relaxed geometry.

N(E_F) ... 4.0 states/eV/cell
E_tot ... -4.595 eV per atom
Energy relative to the elements, uncorrected ... 0.49 eV per atom

```
TeP2RhS
1.0
-3.151 -3.119 1.085
3.184 -2.472 2.141
-0.929 2.374 4.124
P S Rh Te
2 1 1 1
Cartesian
-1.576 -1.559 0.543 P
1.592 -1.236 1.070 P
-0.465 1.187 2.062 S
0.000 0.000 0.000 Rh
-0.448 -1.609 3.675 Te
```

---

16.
A plane-wave DFT calculation with GGA-PBE was carried out for crystalline NiHg2H2 at its relaxed geometry.

N(E_F) ... 1.9 states/eV/cell
E_tot ... -2.288 eV per atom

```
NiHg2H2
1.0
-2.522 -3.906 -0.609
3.927 -2.558 0.147
0.398 -3.521 2.879
Hg Ni H
2 1 2
Cartesian
2.514 -4.655 1.398 Hg
-0.710 -5.329 1.019 Hg
0.000 0.000 0.000 Ni
1.138 -6.717 2.268 H
0.666 -3.267 0.149 H
```

---

17.
A plane-wave DFT calculation with GGA-PBE was carried out for crystalline TaCuAs2 at its relaxed geometry.

Energy relative to the elements ... -4 meV/atom
N(E_F) ... 1.7 states/eV/cell
E_tot ... -6.316 eV per atom

```
TaCuAs2
1.0
7.532 -0.082 -0.049
6.837 3.162 -0.049
6.837 1.466 2.802
As Ta Cu
2 1 1
Cartesian
10.626 2.278 1.355 As
21.183 4.541 2.702 As
15.905 3.410 2.029 Ta
5.302 1.137 0.676 Cu
```

---

18.
A plane-wave DFT calculation with GGA-PBE was carried out for crystalline Na2Pm2PbO6 at its relaxed geometry.

N(E_F) ... 0.0 states/eV/cell
E_tot ... -6.285 eV per atom
Energy relative to the elements, uncorrected ... -2.14 eV per atom

```
Na2Pm2PbO6
1.0
-5.218 0.098 3.188
1.831 -5.119 -2.800
3.752 -0.203 4.594
O Na Pb Pm
6 2 1 2
Cartesian
0.094 -3.940 3.543 O
3.100 -2.058 2.312 O
0.272 -1.285 1.440 O
0.757 -0.324 4.302 O
-2.734 -3.167 2.671 O
-0.391 -4.901 0.680 O
0.759 -4.326 -1.889 Na
-4.146 -0.696 2.278 Na
1.876 -0.102 2.297 Pb
1.344 -3.472 1.504 Pm
-0.979 -1.753 3.478 Pm
```

---

19.
A plane-wave DFT calculation with GGA-PBE was carried out for crystalline Fe6NiPd5 at its relaxed geometry.

Energy relative to the elements ... -45 meV/atom
N(E_F) ... 8.4 states/eV/cell
E_tot ... -6.922 eV per atom

```
Fe6NiPd5
1.0
3.641 0.013 -1.061
-1.030 6.622 -3.450
0.080 -0.607 7.044
Ni Fe Pd
1 6 5
Cartesian
0.000 0.000 0.000 Ni
2.494 3.509 1.824 Fe
1.044 5.003 -3.133 Fe
1.568 1.632 -1.378 Fe
-0.323 5.871 -1.036 Fe
3.015 0.157 3.570 Fe
0.198 2.519 0.710 Fe
1.772 4.230 -0.643 Pd
2.268 0.881 1.015 Pd
0.424 5.147 1.519 Pd
0.919 1.798 3.177 Pd
-0.515 3.311 -1.725 Pd
```

---

20.
A plane-wave DFT calculation with GGA-PBE was carried out for crystalline TbPmIr2 at its relaxed geometry.

Energy relative to the elements ... -682 meV/atom
N(E_F) ... 1.0 states/eV/cell
E_tot ... -7.458 eV per atom

```
TbPmIr2
1.0
-1.818 -2.932 1.126
4.166 -2.360 0.581
0.263 1.583 4.548
Pm Ir Tb
1 2 1
Cartesian
-0.909 -1.466 0.563 Pm
0.131 0.792 2.274 Ir
2.083 -1.180 0.290 Ir
1.306 -1.854 3.127 Tb
```